First-principles (PBE-GGA) data for a relaxed structure of BSbTe2Se, as listed in the Alexandria database.

## Properties
Energy: -16.9 eV per cell
Formation energy (no corrections): 736 meV per atom
Volume: 23.20 Å³ per atom
Density of states at the Fermi level: 0.656 states/eV/atom
Magnetization: 0.00 μB per cell

```
data_BSbTe2Se
_chemical_formula_sum 'B1 Sb1 Te2 Se1'
_cell_length_a 4.810
_cell_length_b 4.810
_cell_length_c 5.015
_cell_angle_alpha 90.00
_cell_angle_beta 90.00
_cell_angle_gamma 90.00
_space_group_name_H-M_alt 'P 4/m m m'
_space_group_IT_number 123
_space_group_name_Hall '-P 4 2'
loop_
_atom_site_label
_atom_site_type_symbol
_atom_site_fract_x
_atom_site_fract_y
_atom_site_fract_z
B1 B 0.000 0.000 0.000
Sb1 Sb 0.000 0.000 0.500
Te1 Te 0.000 0.500 0.000
Se1 Se 0.500 0.500 0.500
```


First-principles (PBE-GGA) data for a relaxed structure of YB2SbSe, as listed in the Alexandria database.

## Properties
Energy: -19.2 eV per cell
Formation energy (no corrections): 1643 meV per atom
Volume: 27.24 Å³ per atom
Density of states at the Fermi level: 0.971 states/eV/atom
Magnetization: 0.00 μB per cell

```
data_YB2SbSe
_chemical_formula_sum 'Y1 B2 Sb1 Se1'
_cell_length_a 4.752
_cell_length_b 4.752
_cell_length_c 6.031
_cell_angle_alpha 90.00
_cell_angle_beta 90.00
_cell_angle_gamma 90.00
_space_group_name_H-M_alt 'P 4/m m m'
_space_group_IT_number 123
_space_group_name_Hall '-P 4 2'
loop_
_atom_site_label
_atom_site_type_symbol
_atom_site_fract_x
_atom_site_fract_y
_atom_site_fract_z
Y1 Y 0.000 0.000 0.000
B1 B 0.000 0.500 0.000
Sb1 Sb 0.000 0.000 0.500
Se1 Se 0.500 0.500 0.500
```


First-principles (PBE-GGA) data for a relaxed structure of SiBSb2, as listed in the Alexandria database.

## Properties
Energy: -73.3 eV per cell
Formation energy (no corrections): 505 meV per atom
Volume: 22.89 Å³ per atom
Density of states at the Fermi level: 0.396 states/eV/atom
Magnetization: 0.00 μB per cell

```
data_SiBSb2
_chemical_formula_sum 'Si4 B4 Sb8'
_cell_length_a 6.022
_cell_length_b 6.022
_cell_length_c 10.098
_cell_angle_alpha 90.00
_cell_angle_beta 90.00
_cell_angle_gamma 90.00
_space_group_name_H-M_alt 'I -4 2 d'
_space_group_IT_number 122
_space_group_name_Hall 'I -4 2bw'
loop_
_atom_site_label
_atom_site_type_symbol
_atom_site_fract_x
_atom_site_fract_y
_atom_site_fract_z
Si1 Si 0.000 0.000 0.000
B1 B 0.000 0.000 0.500
Sb1 Sb 0.198 0.250 0.625
```


First-principles (PBE-GGA) data for a relaxed structure of Si2BSb, as listed in the Alexandria database.

## Properties
Energy: -66.3 eV per cell
Formation energy (no corrections): 1266 meV per atom
Volume: 16.57 Å³ per atom
Density of states at the Fermi level: 0.661 states/eV/atom
Magnetization: 0.00 μB per cell

```
data_Si2BSb
_chemical_formula_sum 'Si8 B4 Sb4'
_cell_length_a 6.424
_cell_length_b 6.424
_cell_length_c 6.424
_cell_angle_alpha 90.00
_cell_angle_beta 90.00
_cell_angle_gamma 90.00
_space_group_name_H-M_alt 'F m -3 m'
_space_group_IT_number 225
_space_group_name_Hall '-F 4 2 3'
loop_
_atom_site_label
_atom_site_type_symbol
_atom_site_fract_x
_atom_site_fract_y
_atom_site_fract_z
Si1 Si 0.250 0.250 0.250
B1 B 0.000 0.000 0.000
Sb1 Sb 0.000 0.000 0.500
```


First-principles (PBE-GGA) data for a relaxed structure of Si3BSb, as listed in the Alexandria database.

## Properties
Energy: -16.0 eV per cell
Formation energy (no corrections): 2223 meV per atom
Volume: 27.55 Å³ per atom
Density of states at the Fermi level: 0.737 states/eV/atom
Magnetization: 0.00 μB per cell

```
data_Si3BSb
_chemical_formula_sum 'Si3 B1 Sb1'
_cell_length_a 5.164
_cell_length_b 5.164
_cell_length_c 5.164
_cell_angle_alpha 90.00
_cell_angle_beta 90.00
_cell_angle_gamma 90.00
_space_group_name_H-M_alt 'P m -3 m'
_space_group_IT_number 221
_space_group_name_Hall '-P 4 2 3'
loop_
_atom_site_label
_atom_site_type_symbol
_atom_site_fract_x
_atom_site_fract_y
_atom_site_fract_z
Si1 Si 0.000 0.000 0.500
B1 B 0.500 0.500 0.500
Sb1 Sb 0.000 0.000 0.000
```


First-principles (PBE-GGA) data for a relaxed structure of SiBSb3, as listed in the Alexandria database.

## Properties
Energy: -19.9 eV per cell
Formation energy (no corrections): 914 meV per atom
Volume: 22.32 Å³ per atom
Density of states at the Fermi level: 0.901 states/eV/atom
Magnetization: 0.00 μB per cell

```
data_SiBSb3
_chemical_formula_sum 'Si1 B1 Sb3'
_cell_length_a 4.814
_cell_length_b 4.814
_cell_length_c 4.814
_cell_angle_alpha 90.00
_cell_angle_beta 90.00
_cell_angle_gamma 90.00
_space_group_name_H-M_alt 'P m -3 m'
_space_group_IT_number 221
_space_group_name_Hall '-P 4 2 3'
loop_
_atom_site_label
_atom_site_type_symbol
_atom_site_fract_x
_atom_site_fract_y
_atom_site_fract_z
Si1 Si 0.000 0.000 0.000
B1 B 0.500 0.500 0.500
Sb1 Sb 0.000 0.500 0.500
```


First-principles (PBE-GGA) data for a relaxed structure of Si3BSb, as listed in the Alexandria database.

## Properties
Energy: -23.7 eV per cell
Formation energy (no corrections): 665 meV per atom
Volume: 16.07 Å³ per atom
Density of states at the Fermi level: 0.499 states/eV/atom
Magnetization: 0.00 μB per cell

```
data_Si3BSb
_chemical_formula_sum 'Si3 B1 Sb1'
_cell_length_a 4.316
_cell_length_b 4.316
_cell_length_c 4.316
_cell_angle_alpha 90.00
_cell_angle_beta 90.00
_cell_angle_gamma 90.00
_space_group_name_H-M_alt 'P m -3 m'
_space_group_IT_number 221
_space_group_name_Hall '-P 4 2 3'
loop_
_atom_site_label
_atom_site_type_symbol
_atom_site_fract_x
_atom_site_fract_y
_atom_site_fract_z
Si1 Si 0.000 0.000 0.500
B1 B 0.000 0.000 0.000
Sb1 Sb 0.500 0.500 0.500
```


First-principles (PBE-GGA) data for a relaxed structure of Si2BSb, as listed in the Alexandria database.

## Properties
Energy: -84.3 eV per cell
Formation energy (no corrections): 146 meV per atom
Volume: 18.75 Å³ per atom
Density of states at the Fermi level: 0.027 states/eV/atom
Magnetization: 0.00 μB per cell

```
data_Si2BSb
_chemical_formula_sum 'Si8 B4 Sb4'
_cell_length_a 5.369
_cell_length_b 5.369
_cell_length_c 10.407
_cell_angle_alpha 90.00
_cell_angle_beta 90.00
_cell_angle_gamma 90.00
_space_group_name_H-M_alt 'I -4 2 d'
_space_group_IT_number 122
_space_group_name_Hall 'I -4 2bw'
loop_
_atom_site_label
_atom_site_type_symbol
_atom_site_fract_x
_atom_site_fract_y
_atom_site_fract_z
Si1 Si 0.159 0.250 0.125
B1 B 0.000 0.000 0.000
Sb1 Sb 0.000 0.000 0.500
```